Density functional theory data (GGA-PBE) for a geometry-optimized Cs4KBr2 structure.

CIF file:
```
data_Cs4KBr2
_space_group_name_H-M_alt 'I 4/m m m'
_space_group_IT_number 139
_space_group_name_Hall '-I 4 2'
_cell_length_a 7.763
_cell_length_b 7.763
_cell_length_c 20.281
_cell_angle_alpha 90.00
_cell_angle_beta 90.00
_cell_angle_gamma 90.00
loop_
_atom_site_label
_atom_site_type_symbol
_atom_site_fract_x
_atom_site_fract_y
_atom_site_fract_z
Cs1 Cs 0.000 0.000 0.242
Cs2 Cs 0.000 0.500 0.000
K1 K 0.000 0.000 0.000
Br1 Br 0.000 0.000 0.406
```

The total moment comes out at 0.0 Bohr magnetons per cell. Its density of states at the Fermi level is 0.50 states/eV/atom. As for the formation energy (no corrections): -4.8 eV per formula unit.